# Pr3Tc5N12

A relaxed Pr3Tc5N12 crystal (GGA-PBE, Alexandria).

Output
* ΔE_f (raw): -810 kJ/mol of formula units
* volume: 13.533 Å³/atom
* total magnetization: 0.000 μB/atom
* SG: No. 230
* DOS(E_F): 34.72 states/eV per cell
* final energy: -8.7234 eV per atom

Lattice parameters (Å, degrees): 11.204 11.204 11.204 109.47 109.47 109.47
Element x y z (fractional)
1 N 0.816 0.897 0.010
2 N 0.387 0.990 0.807
3 N 0.816 0.919 0.307
4 N 0.419 0.307 0.316
5 N 0.510 0.316 0.897
6 N 0.010 0.397 0.816
7 N 0.807 0.316 0.919
8 N 0.684 0.490 0.603
9 N 0.307 0.887 0.990
10 N 0.684 0.193 0.581
11 N 0.887 0.581 0.897
12 N 0.897 0.081 0.887
13 N 0.919 0.816 0.807
14 N 0.184 0.081 0.693
15 N 0.103 0.184 0.490
16 N 0.387 0.397 0.081
17 N 0.919 0.103 0.613
18 N 0.693 0.581 0.184
19 N 0.103 0.919 0.113
20 N 0.693 0.113 0.010
21 N 0.081 0.897 0.387
22 N 0.510 0.193 0.113
23 N 0.397 0.010 0.316
24 N 0.193 0.510 0.613
25 N 0.603 0.613 0.419
26 N 0.081 0.184 0.193
27 N 0.113 0.693 0.510
28 N 0.603 0.990 0.684
29 N 0.184 0.103 0.990
30 N 0.307 0.419 0.816
31 N 0.581 0.887 0.397
32 N 0.010 0.613 0.693
33 N 0.113 0.419 0.103
34 N 0.581 0.693 0.684
35 N 0.887 0.307 0.490
36 N 0.419 0.113 0.603
37 N 0.990 0.603 0.184
38 N 0.397 0.387 0.581
39 N 0.897 0.816 0.510
40 N 0.490 0.807 0.887
41 N 0.613 0.603 0.919
42 N 0.193 0.684 0.081
43 N 0.316 0.807 0.419
44 N 0.613 0.010 0.193
45 N 0.490 0.684 0.103
46 N 0.990 0.387 0.307
47 N 0.316 0.510 0.397
48 N 0.807 0.490 0.387
49 Pr 0.125 0.250 0.875
50 Pr 0.375 0.750 0.625
51 Pr 0.750 0.875 0.625
52 Pr 0.875 0.125 0.250
53 Pr 0.125 0.875 0.750
54 Pr 0.375 0.625 0.250
55 Pr 0.875 0.750 0.125
56 Pr 0.250 0.625 0.875
57 Pr 0.250 0.125 0.375
58 Pr 0.625 0.250 0.375
59 Pr 0.625 0.375 0.750
60 Pr 0.750 0.375 0.125
61 Tc 0.000 0.000 0.000
62 Tc 0.000 0.000 0.500
63 Tc 0.750 0.125 0.875
64 Tc 0.500 0.000 0.000
65 Tc 0.000 0.500 0.500
66 Tc 0.500 0.500 0.000
67 Tc 0.125 0.750 0.375
68 Tc 0.250 0.375 0.625
69 Tc 0.000 0.500 0.000
70 Tc 0.750 0.625 0.375
71 Tc 0.625 0.875 0.250
72 Tc 0.875 0.625 0.750
73 Tc 0.125 0.375 0.250
74 Tc 0.375 0.125 0.750
75 Tc 0.375 0.250 0.125
76 Tc 0.875 0.250 0.625
77 Tc 0.500 0.000 0.500
78 Tc 0.500 0.500 0.500
79 Tc 0.625 0.750 0.875
80 Tc 0.250 0.875 0.125